[1]
# LiTbMgSe3 (PBE, optimized geometry)
data_LiTbMgSe3
_chemical_formula_sum 'Li4 Tb4 Mg4 Se12'
_cell_length_a 4.0855
_cell_length_b 13.0571
_cell_length_c 11.2898
_cell_angle_alpha 90.00
_cell_angle_beta 90.00
_cell_angle_gamma 90.00
_space_group_name_H-M_alt 'C m c m'
_space_group_IT_number 63
_space_group_name_Hall '-C 2c 2'
loop_
_atom_site_label
_atom_site_type_symbol
_atom_site_fract_x
_atom_site_fract_y
_atom_site_fract_z
Li1 Li 0.0000 0.2478 0.2500
Tb1 Tb 0.0000 0.0000 0.0000
Mg1 Mg 0.0000 0.4761 0.7500
Se1 Se 0.0000 0.0961 0.7500
Se2 Se 0.0000 0.3594 0.5729
# - size of the total moment (μB per atom) = 0.00
# - calculated total energy (eV/atom) = -4.490

=====

[2]
# LiSmMg (PBE, optimized geometry)
data_LiSmMg
_chemical_formula_sum 'Li4 Sm4 Mg4'
_cell_length_a 6.9204
_cell_length_b 6.9204
_cell_length_c 6.9204
_cell_angle_alpha 90.00
_cell_angle_beta 90.00
_cell_angle_gamma 90.00
_space_group_name_H-M_alt 'F -4 3 m'
_space_group_IT_number 216
_space_group_name_Hall 'F -4 2 3'
loop_
_atom_site_label
_atom_site_type_symbol
_atom_site_fract_x
_atom_site_fract_y
_atom_site_fract_z
Li1 Li 0.0000 0.0000 0.0000
Sm1 Sm 0.2500 0.2500 0.2500
Mg1 Mg 0.2500 0.2500 0.7500
# - size of the total moment (μB per atom) = 0.00
# - offset from the most stable computed form (meV/atom) = 0
# - calculated total energy (eV/atom) = -2.407

=====

[3]
# LiSmMg (PBE, optimized geometry)
data_LiSmMg
_chemical_formula_sum 'Li4 Sm4 Mg4'
_cell_length_a 7.2684
_cell_length_b 7.2684
_cell_length_c 7.2684
_cell_angle_alpha 90.00
_cell_angle_beta 90.00
_cell_angle_gamma 90.00
_space_group_name_H-M_alt 'F -4 3 m'
_space_group_IT_number 216
_space_group_name_Hall 'F -4 2 3'
loop_
_atom_site_label
_atom_site_type_symbol
_atom_site_fract_x
_atom_site_fract_y
_atom_site_fract_z
Li1 Li 0.0000 0.0000 0.0000
Sm1 Sm 0.2500 0.2500 0.2500
Mg1 Mg 0.0000 0.0000 0.5000
# - size of the total moment (μB per atom) = 0.02
# - offset from the most stable computed form (meV/atom) = 318
# - calculated total energy (eV/atom) = -2.089